[1]
5
Lattice="5.340 0.000 0.000 0.000 5.340 0.000 0.000 0.000 5.059" Properties=species:S:1:pos:R:3 comment="PBE NiSbTe2Pd, relaxed" e_above_lowest_polymorph_mev_per_atom=341 pbc="T T T"
Sb 0.000 0.000 2.530
Pd 0.000 0.000 0.000
Te 0.000 2.670 0.000
Te 2.670 0.000 0.000
Ni 2.670 2.670 2.530

[2]
4
Lattice="-4.428 -0.079 1.999 -1.787 -4.153 1.782 -0.489 -0.573 4.801" Properties=species:S:1:pos:R:3 comment="PBE ThNiSbPd, relaxed" energy_ev_per_atom=-6.21 pbc="T T T"
Th 0.000 0.000 0.000
Pd -5.028 -3.604 6.436
Ni -1.676 -1.201 2.145
Sb -3.352 -2.403 4.291

[3]
10
Lattice="-1.368 0.719 -4.042 -4.094 0.081 1.400 0.730 10.095 1.548" Properties=species:S:1:pos:R:3 comment="PBE Th2Ni4Sb3Pd, relaxed" energy_ev_per_atom=-6.18 pbc="T T T"
Th -0.501 2.895 -1.633
Th -1.501 7.600 1.859
Ni -2.731 0.400 -1.321
Ni -1.779 3.746 1.268
Ni -0.222 6.749 -1.042
Ni 0.000 0.000 0.000
Sb -1.954 1.330 0.898
Sb -0.048 9.165 -0.671
Sb 0.365 5.047 0.774
Pd -2.366 5.447 -0.547

[4]
12
Lattice="3.502 -0.002 0.020 0.002 3.502 0.020 1.682 1.680 14.040" Properties=species:S:1:pos:R:3 comment="PBE TiNi7Sb2Pd2, relaxed" energy_ev_per_atom=-5.75 pbc="T T T"
Ti 0.000 0.000 0.000
Pd 3.456 3.452 10.284
Pd 1.730 1.728 3.796
Ni 1.716 1.714 6.487
Ni 1.694 3.441 12.232
Ni 3.493 1.738 1.848
Ni 1.743 3.490 1.848
Ni 3.470 3.466 7.594
Ni 1.752 1.750 0.020
Ni 3.443 1.689 12.232
Sb 3.474 3.470 5.123
Sb 1.712 1.710 8.957

[5]
5
Lattice="4.968 0.000 0.000 0.000 5.677 0.000 0.000 0.000 4.968" Properties=species:S:1:pos:R:3 comment="PBE TlNiSbPd2, relaxed" energy_ev_per_atom=-3.61 pbc="T T T"
Sb 0.000 0.000 0.000
Pd 2.484 0.000 0.000
Pd 0.000 0.000 2.484
Tl 0.000 2.839 0.000
Ni 2.484 2.839 2.484

[6]
4
Lattice="-4.364 -0.024 -1.673 -2.773 -3.684 0.759 -3.626 0.368 2.925" Properties=species:S:1:pos:R:3 comment="PBE TmNiSbPd, relaxed" energy_ev_per_atom=-5.55 pbc="T T T"
Sb -5.382 -1.670 1.005
Ni -2.691 -0.835 0.503
Tm 0.000 0.000 0.000
Pd -8.072 -2.505 1.508